Compound: CuIrCl2
Source: Alexandria via LeMat-Bulk
Functional: PBE-GGA
Structure: optimized geometry

```
CuIrCl2
1.0
1.735 1.002 7.388
-1.735 1.002 7.388
0.000 -2.003 7.388
Cu Ir Cl
1 1 2
direct
0.000 0.000 0.000
0.259 0.259 0.259
0.539 0.539 0.539
0.727 0.727 0.727
```

Summary:
Calculated volume   19.257 Å³/atom
ΔE to the lowest computed polymorph   0 meV per atom
E_form (uncorrected)   0.033 eV/atom